Record 1
{"formula": "CdAsBr2", "functional": "PBE-GGA", "state": "optimized geometry", "magnetic_moment_mub_per_fu": 0.0, "relative_energy_kj_per_mol_atoms": 27.1, "formation_energy_uncorrected_ev_per_atom": 0.002, "lattice_angstrom": [[3.473, 0.000, 0.000], [0.000, 3.473, 0.000], [0.000, 0.000, 8.849]], "species": ["As", "Br", "Br", "Cd"], "frac_coords": [[0.500, 0.500, 0.731], [0.000, 0.000, 0.925], [0.500, 0.500, 0.327], [0.000, 0.000, 0.517]]}

Record 2
{"formula": "Ac3EuPt", "functional": "PBE-GGA", "state": "optimized geometry", "magnetic_moment_mub_per_fu": 8.7, "e_tot_ev_per_cell": -30.642, "lattice_angstrom": [[-0.864, 5.088, 3.108], [-5.828, -1.383, 0.644], [1.257, -2.914, 5.120]], "species": ["Eu", "Ac", "Ac", "Ac", "Pt"], "frac_coords": [[0.500, 0.500, 0.500], [0.000, 0.500, 0.000], [0.000, 0.000, 0.500], [0.500, 0.000, 0.000], [0.000, 0.000, 0.000]]}

Record 3
{"formula": "TaMoOs", "functional": "PBE-GGA", "state": "optimized geometry", "magnetic_moment_mub_per_fu": 0.0, "relative_energy_kj_per_mol_atoms": 1.9, "lattice_angstrom": [[-1.431, 0.429, -2.414], [2.788, -2.794, -3.242], [-4.098, -5.642, -0.136]], "species": ["Ta", "Ta", "Mo", "Mo", "Os", "Os"], "frac_coords": [[0.626, 0.712, 0.342], [0.374, 0.288, 0.658], [0.500, 0.500, 0.000], [0.000, 0.000, 0.000], [0.092, 0.210, 0.316], [0.908, 0.790, 0.684]]}

Record 4
{"formula": "BaSrO2", "functional": "PBE-GGA", "state": "optimized geometry", "magnetic_moment_mub_per_fu": 0.0, "relative_energy_kj_per_mol_atoms": 2.6, "formation_energy_uncorrected_ev_per_atom": -2.549, "lattice_angstrom": [[-3.218, -0.451, 2.050], [-0.733, -3.275, -1.871], [2.778, -2.766, 3.754]], "species": ["Sr", "Ba", "O", "O"], "frac_coords": [[0.000, 0.000, 0.000], [0.500, 0.500, 0.500], [0.500, 0.500, 0.000], [0.000, 0.000, 0.500]]}

Record 5
{"formula": "TbPuGaPb", "functional": "PBE-GGA", "state": "optimized geometry", "magnetic_moment_mub_per_fu": 6.0, "e_tot_ev_per_cell": -26.821, "lattice_angstrom": [[5.292, 0.000, 0.000], [2.646, 4.583, 0.000], [2.646, 1.528, 4.321]], "species": ["Pb", "Tb", "Ga", "Pu"], "frac_coords": [[0.250, 0.250, 0.250], [0.000, 0.000, 0.000], [0.750, 0.750, 0.750], [0.500, 0.500, 0.500]]}

Record 6
{"formula": "TaCoTe2I", "functional": "PBE-GGA", "state": "optimized geometry", "magnetic_moment_mub_per_fu": 0.0, "relative_energy_kj_per_mol_atoms": 8.4, "formation_energy_uncorrected_ev_per_atom": 0.990, "lattice_angstrom": [[4.942, 0.000, 0.000], [0.000, 4.942, 0.000], [0.000, 0.000, 4.970]], "species": ["I", "Te", "Te", "Co", "Ta"], "frac_coords": [[0.000, 0.000, 0.500], [0.000, 0.500, 0.000], [0.500, 0.000, 0.000], [0.000, 0.000, 0.000], [0.500, 0.500, 0.500]]}